PrHo2ReO8: relaxed, GGA-PBE.

POSCAR file:
```
PrHo2ReO8
1.0
5.071 0.005 -0.003
0.040 5.069 -0.006
0.004 0.008 6.879
O Pr Ho Re
8 1 2 1
Cartesian
0.969 4.131 1.372
4.147 0.950 5.498
1.628 1.611 3.437
4.144 0.946 1.374
3.760 3.741 6.872
3.488 3.470 3.433
1.356 1.340 -0.002
0.972 4.136 5.496
0.002 0.004 3.439
2.557 2.539 1.724
2.559 2.543 5.146
0.000 0.000 0.000
```

Calculated values
Formation energy (no corrections): -2753.4 meV/atom